This record from Alexandria describes a geometry-optimized MnNiO3 structure. The functional is PBE+U.

Calculated density: 5.412 g cm⁻³
D(E_F): 0.35 states/eV/atom
E_tot: -5.987 eV per atom

Unit cell a=3.0385 b=12.9486 c=5.0419 alpha=90.00 beta=90.00 gamma=90.00
Space group Cmc2_1 (No. 36)
One atom of each set of equivalent atoms:
Mn  0.0000  0.0600  0.0000
Ni  0.0000  0.3248  0.9507
O  0.0000  0.1243  0.6652
O  0.0000  0.1982  0.1743
O  0.0000  0.4630  0.7870